VASP calculation (PBE) on a relaxed structure of Ta3BTe.

a = 4.417 Å, b = 4.417 Å, c = 4.417 Å
α = 90.00°, β = 90.00°, γ = 90.00°
Positions (direct):
Ta 0.000 0.000 0.500
Ta 0.000 0.500 0.000
Ta 0.500 0.000 0.000
B 0.000 0.000 0.000
Te 0.500 0.500 0.500

Results
* ρ: 13.12 Mg/m³
* formation energy from raw total energies: 0.28 eV/atom
* total moment: 0.00 μB/f.u.
* N(E_F): 4.95 states/eV per cell
* energy relative to the lowest polymorph listed for this composition: 0.000 eV/atom

VASP calculation (PBE) on a relaxed structure of TaB3Te.

a = 4.281 Å, b = 4.281 Å, c = 4.281 Å
α = 90.00°, β = 90.00°, γ = 90.00°
Positions (direct):
Ta 0.000 0.000 0.000
B 0.000 0.500 0.500
B 0.500 0.000 0.500
B 0.500 0.500 0.000
Te 0.500 0.500 0.500

Results
* ρ: 7.22 Mg/m³
* formation energy from raw total energies: 2.43 eV/atom
* total moment: 0.00 μB/f.u.
* N(E_F): 4.03 states/eV per cell
* energy relative to the lowest polymorph listed for this composition: 0.841 eV/atom

VASP calculation (PBE) on a relaxed structure of TaBTe3.

a = 5.412 Å, b = 5.412 Å, c = 5.412 Å
α = 90.00°, β = 90.00°, γ = 90.00°
Positions (direct):
Ta 0.000 0.000 0.000
B 0.500 0.500 0.500
Te 0.000 0.000 0.500
Te 0.000 0.500 0.000
Te 0.500 0.000 0.000

Results
* ρ: 6.02 Mg/m³
* formation energy from raw total energies: 1.14 eV/atom
* total moment: 0.22 μB/f.u.
* N(E_F): 5.79 states/eV per cell
* energy relative to the lowest polymorph listed for this composition: 0.105 eV/atom

VASP calculation (PBE) on a relaxed structure of TaBTe2.

a = 6.657 Å, b = 6.657 Å, c = 6.657 Å
α = 125.82°, β = 125.82°, γ = 80.19°
Positions (direct):
Ta 0.000 0.000 0.000
Ta 0.750 0.250 0.500
B 0.250 0.750 0.500
B 0.500 0.500 0.000
Te 0.184 0.625 0.059
Te 0.375 0.434 0.559
Te 0.566 0.125 0.941
Te 0.875 0.816 0.441

Results
* ρ: 7.93 Mg/m³
* formation energy from raw total energies: 0.83 eV/atom
* total moment: 0.15 μB/f.u.
* N(E_F): 5.61 states/eV per cell

VASP calculation (PBE) on a relaxed structure of TaBTe2.

a = 8.213 Å, b = 8.213 Å, c = 8.213 Å
α = 25.49°, β = 25.49°, γ = 25.49°
Positions (direct):
Ta 0.000 0.000 0.000
B 0.500 0.500 0.500
Te 0.412 0.412 0.412
Te 0.588 0.588 0.588

Results
* ρ: 8.21 Mg/m³
* formation energy from raw total energies: 0.83 eV/atom
* total moment: 0.00 μB/f.u.
* N(E_F): 1.50 states/eV per cell

VASP calculation (PBE) on a relaxed structure of TaBTe3.

a = 4.752 Å, b = 4.752 Å, c = 4.752 Å
α = 90.00°, β = 90.00°, γ = 90.00°
Positions (direct):
Ta 0.000 0.000 0.000
B 0.500 0.500 0.500
Te 0.000 0.500 0.500
Te 0.500 0.000 0.500
Te 0.500 0.500 0.000

Results
* ρ: 8.89 Mg/m³
* formation energy from raw total energies: 1.03 eV/atom
* total moment: 0.00 μB/f.u.
* N(E_F): 4.86 states/eV per cell
* energy relative to the lowest polymorph listed for this composition: 0.000 eV/atom

VASP calculation (PBE) on a relaxed structure of TaB3Te.

a = 4.393 Å, b = 4.393 Å, c = 4.393 Å
α = 90.00°, β = 90.00°, γ = 90.00°
Positions (direct):
Ta 0.000 0.000 0.000
B 0.000 0.000 0.500
B 0.000 0.500 0.000
B 0.500 0.000 0.000
Te 0.500 0.500 0.500

Results
* ρ: 6.68 Mg/m³
* formation energy from raw total energies: 1.59 eV/atom
* total moment: 0.00 μB/f.u.
* N(E_F): 5.02 states/eV per cell
* energy relative to the lowest polymorph listed for this composition: 0.000 eV/atom

VASP calculation (PBE) on a relaxed structure of ThTaB.

a = 8.142 Å, b = 8.142 Å, c = 8.142 Å
α = 126.52°, β = 78.91°, γ = 126.67°
Positions (direct):
Th 0.001 0.250 0.251
Th 0.485 0.422 0.563
Th 0.486 0.923 0.063
Th 0.859 0.423 0.937
Th 0.859 0.922 0.437
Th 0.999 0.750 0.749
Ta 0.166 0.293 0.874
Ta 0.166 0.792 0.373
Ta 0.419 0.292 0.126
Ta 0.419 0.793 0.627
Ta 0.604 0.104 0.500
Ta 0.604 0.604 0.000
B 0.185 0.487 0.697
B 0.185 0.988 0.197
B 0.380 0.131 0.750
B 0.381 0.631 0.250
B 0.790 0.488 0.303
B 0.790 0.987 0.803

Results
* ρ: 12.54 Mg/m³
* formation enthalpy at 0 K: 0.22 eV per formula unit
* total moment: 0.00 μB/f.u.
* N(E_F): 12.70 states/eV per cell

VASP calculation (PBE) on a relaxed structure of ThTa2B6.

a = 5.511 Å, b = 5.511 Å, c = 3.724 Å
α = 90.00°, β = 90.00°, γ = 120.00°
Positions (direct):
Th 0.000 0.000 0.000
Ta 0.333 0.667 0.000
Ta 0.667 0.333 0.000
B 0.000 0.342 0.500
B 0.000 0.658 0.500
B 0.342 0.000 0.500
B 0.342 0.342 0.500
B 0.658 0.000 0.500
B 0.658 0.658 0.500

Results
* ρ: 11.17 Mg/m³
* formation enthalpy at 0 K: -3.54 eV per formula unit
* total moment: 0.00 μB/f.u.
* N(E_F): 5.16 states/eV per cell

VASP calculation (PBE) on a relaxed structure of ThTaB2.

a = 6.425 Å, b = 6.425 Å, c = 6.425 Å
α = 31.55°, β = 31.55°, γ = 31.55°
Positions (direct):
Th 0.000 0.000 0.000
Ta 0.500 0.500 0.500
B 0.233 0.233 0.233
B 0.767 0.767 0.767

Results
* ρ: 11.19 Mg/m³
* formation enthalpy at 0 K: -0.52 eV per formula unit
* total moment: 0.00 μB/f.u.
* N(E_F): 2.81 states/eV per cell

VASP calculation (PBE) on a relaxed structure of TaTi2B2.

a = 4.782 Å, b = 4.782 Å, c = 4.782 Å
α = 139.54°, β = 116.00°, γ = 78.50°
Positions (direct):
Ta 0.000 0.000 0.000
Ti 0.297 0.797 0.500
Ti 0.703 0.203 0.500
B 0.326 0.500 0.826
B 0.674 0.500 0.174

Results
* ρ: 7.98 Mg/m³
* formation enthalpy at 0 K: -2.52 eV per formula unit
* total moment: 0.00 μB/f.u.
* N(E_F): 3.67 states/eV per cell
* energy relative to the lowest polymorph listed for this composition: 0.060 eV/atom

VASP calculation (PBE) on a relaxed structure of TaTiB3.

a = 4.145 Å, b = 4.145 Å, c = 4.145 Å
α = 90.00°, β = 90.00°, γ = 90.00°
Positions (direct):
Ta 0.000 0.000 0.000
Ti 0.500 0.500 0.500
B 0.000 0.000 0.500
B 0.000 0.500 0.000
B 0.500 0.000 0.000

Results
* ρ: 6.09 Mg/m³
* formation enthalpy at 0 K: 5.39 eV per formula unit
* total moment: 0.00 μB/f.u.
* N(E_F): 2.57 states/eV per cell
* energy relative to the lowest polymorph listed for this composition: 2.024 eV/atom

VASP calculation (PBE) on a relaxed structure of Ta2Ti4B.

a = 7.751 Å, b = 7.751 Å, c = 7.751 Å
α = 149.11°, β = 149.11°, γ = 44.25°
Positions (direct):
Ta 0.151 0.151 0.000
Ta 0.849 0.849 0.000
Ti 0.000 0.500 0.500
Ti 0.351 0.351 0.000
Ti 0.500 0.000 0.500
Ti 0.649 0.649 0.000
B 0.500 0.500 0.000

Results
* ρ: 7.66 Mg/m³
* formation enthalpy at 0 K: 2.52 eV per formula unit
* total moment: 0.00 μB/f.u.
* N(E_F): 6.93 states/eV per cell

VASP calculation (PBE) on a relaxed structure of TaTiB3.

a = 3.910 Å, b = 3.910 Å, c = 3.910 Å
α = 90.00°, β = 90.00°, γ = 90.00°
Positions (direct):
Ta 0.000 0.000 0.000
Ti 0.500 0.500 0.500
B 0.000 0.500 0.500
B 0.500 0.000 0.500
B 0.500 0.500 0.000

Results
* ρ: 7.26 Mg/m³
* formation enthalpy at 0 K: 5.59 eV per formula unit
* total moment: 0.00 μB/f.u.
* N(E_F): 2.16 states/eV per cell
* energy relative to the lowest polymorph listed for this composition: 2.065 eV/atom

VASP calculation (PBE) on a relaxed structure of TaTi3B.

a = 4.742 Å, b = 4.742 Å, c = 4.742 Å
α = 90.00°, β = 90.00°, γ = 90.00°
Positions (direct):
Ta 0.000 0.000 0.000
Ti 0.000 0.000 0.500
Ti 0.000 0.500 0.000
Ti 0.500 0.000 0.000
B 0.500 0.500 0.500

Results
* ρ: 5.22 Mg/m³
* formation enthalpy at 0 K: 9.30 eV per formula unit
* total moment: 0.28 μB/f.u.
* N(E_F): 7.34 states/eV per cell

VASP calculation (PBE) on a relaxed structure of Ta2TiB2.

a = 6.134 Å, b = 6.134 Å, c = 3.270 Å
α = 90.00°, β = 90.00°, γ = 90.00°
Positions (direct):
Ta 0.179 0.321 0.000
Ta 0.321 0.821 0.000
Ta 0.679 0.179 0.000
Ta 0.821 0.679 0.000
Ti 0.000 0.000 0.500
Ti 0.500 0.500 0.500
B 0.107 0.607 0.500
B 0.393 0.107 0.500
B 0.607 0.893 0.500
B 0.893 0.393 0.500

Results
* ρ: 11.64 Mg/m³
* formation enthalpy at 0 K: -3.40 eV per formula unit
* total moment: 0.00 μB/f.u.
* N(E_F): 6.86 states/eV per cell
* energy relative to the lowest polymorph listed for this composition: 0.000 eV/atom

VASP calculation (PBE) on a relaxed structure of Ta2TiB2.

a = 7.237 Å, b = 7.237 Å, c = 3.962 Å
α = 90.00°, β = 90.00°, γ = 141.14°
Positions (direct):
Ta 0.102 0.898 0.750
Ta 0.279 0.721 0.250
Ta 0.721 0.279 0.750
Ta 0.898 0.102 0.250
Ti 0.500 0.500 0.000
Ti 0.500 0.500 0.500
B 0.160 0.449 0.750
B 0.449 0.160 0.250
B 0.551 0.840 0.750
B 0.840 0.551 0.250

Results
* ρ: 11.00 Mg/m³
* formation enthalpy at 0 K: -0.37 eV per formula unit
* total moment: 0.00 μB/f.u.
* N(E_F): 3.68 states/eV per cell
* energy relative to the lowest polymorph listed for this composition: 0.605 eV/atom

VASP calculation (PBE) on a relaxed structure of Ta3TiB4.

a = 6.858 Å, b = 6.858 Å, c = 6.858 Å
α = 152.60°, β = 139.15°, γ = 49.89°
Positions (direct):
Ta 0.000 0.000 0.000
Ta 0.305 0.805 0.500
Ta 0.695 0.195 0.500
Ti 0.500 0.500 0.000
B 0.047 0.368 0.679
B 0.311 0.632 0.679
B 0.689 0.368 0.321
B 0.953 0.632 0.321

Results
* ρ: 10.89 Mg/m³
* formation enthalpy at 0 K: -3.91 eV per formula unit
* total moment: 0.00 μB/f.u.
* N(E_F): 3.19 states/eV per cell
* energy relative to the lowest polymorph listed for this composition: 0.352 eV/atom

VASP calculation (PBE) on a relaxed structure of TaTiB3.

a = 9.781 Å, b = 9.781 Å, c = 3.087 Å
α = 90.00°, β = 90.00°, γ = 160.76°
Positions (direct):
Ta 0.202 0.798 0.750
Ta 0.798 0.202 0.250
Ti 0.068 0.932 0.250
Ti 0.932 0.068 0.750
B 0.338 0.662 0.750
B 0.387 0.613 0.250
B 0.477 0.523 0.250
B 0.523 0.477 0.750
B 0.613 0.387 0.750
B 0.662 0.338 0.250

Results
* ρ: 8.92 Mg/m³
* formation enthalpy at 0 K: -4.73 eV per formula unit
* total moment: 0.00 μB/f.u.
* N(E_F): 1.43 states/eV per cell
* energy relative to the lowest polymorph listed for this composition: 0.000 eV/atom

VASP calculation (PBE) on a relaxed structure of TaTi3B4.

a = 6.807 Å, b = 6.807 Å, c = 6.807 Å
α = 152.81°, β = 138.05°, γ = 50.71°
Positions (direct):
Ta 0.000 0.000 0.000
Ti 0.194 0.694 0.500
Ti 0.500 0.500 0.000
Ti 0.806 0.306 0.500
B 0.196 0.867 0.330
B 0.463 0.133 0.330
B 0.537 0.867 0.670
B 0.804 0.133 0.670

Results
* ρ: 6.37 Mg/m³
* formation enthalpy at 0 K: -3.39 eV per formula unit
* total moment: 0.00 μB/f.u.
* N(E_F): 3.60 states/eV per cell